The following is a PBE-GGA calculation of an optimized crystal structure of Li3ErTm2Se6, from Alexandria.

abc: 6.972 6.972 6.889
angles: 99.71 99.71 120.00
Sites, in units of the cell vectors:
Li: 0.167 0.833 0.500
Li: 0.833 0.167 0.500
Li: 0.500 0.500 0.500
Er: 0.000 0.000 0.000
Tm: 0.333 0.667 0.000
Tm: 0.667 0.333 0.000
Se: 0.916 0.582 0.749
Se: 0.749 0.749 0.251
Se: 0.084 0.418 0.251
Se: 0.582 0.916 0.749
Se: 0.251 0.251 0.749
Se: 0.418 0.084 0.251

## Properties
- E_form (uncorrected): -20.3 eV per formula unit
- Size of the total moment: 0.0 μB/cell
- SG: C2/m, No. 12
- Final energy: -5.042 eV per atom

***

The following is a PBE-GGA calculation of an optimized crystal structure of CaTb3Pm2As6, from Alexandria.

abc: 4.189 8.390 9.385
angles: 103.10 102.90 90.00
Sites, in units of the cell vectors:
Ca: 0.500 0.000 0.000
Tb: 0.500 0.500 0.000
Tb: 0.834 0.166 0.668
Tb: 0.166 0.834 0.332
Pm: 0.834 0.669 0.669
Pm: 0.166 0.331 0.331
As: 0.331 0.920 0.662
As: 0.666 0.586 0.332
As: 0.669 0.080 0.338
As: 0.998 0.257 0.997
As: 0.002 0.743 0.003
As: 0.334 0.414 0.668

## Properties
- Formation energy: -1.43 eV/atom
- Size of the total moment: 0.0 μB/cell
- SG: C2/m, No. 12
- Final energy: -5.868 eV per atom

***

The following is a PBE-GGA calculation of an optimized crystal structure of TmGaO3, from Alexandria.

abc: 5.644 6.938 6.938
angles: 86.54 82.07 82.07
Sites, in units of the cell vectors:
Tm: 0.250 0.902 0.098
Tm: 0.750 0.098 0.902
Tm: 0.250 0.296 0.704
Tm: 0.750 0.704 0.296
Ga: 0.707 0.608 0.792
Ga: 0.793 0.208 0.392
Ga: 0.293 0.392 0.208
Ga: 0.207 0.792 0.608
O: 0.633 0.792 0.986
O: 0.867 0.014 0.208
O: 0.367 0.208 0.014
O: 0.133 0.986 0.792
O: 0.882 0.376 0.857
O: 0.618 0.143 0.624
O: 0.118 0.624 0.143
O: 0.382 0.857 0.376
O: 0.407 0.577 0.710
O: 0.093 0.290 0.423
O: 0.593 0.423 0.290
O: 0.907 0.710 0.577

## Properties
- E_form (uncorrected): -13.8 eV per formula unit
- Size of the total moment: 0.0 μB/cell
- SG: C2/c, No. 15
- Final energy: -7.243 eV per atom

***

The following is a PBE-GGA calculation of an optimized crystal structure of Pm3Mg5S12, from Alexandria.

abc: 13.445 13.445 13.445
angles: 109.47 109.47 109.47
Sites, in units of the cell vectors:
S: 0.719 0.126 0.042
S: 0.323 0.542 0.416
S: 0.958 0.374 0.281
S: 0.542 0.219 0.126
S: 0.593 0.719 0.677
S: 0.958 0.584 0.177
S: 0.323 0.781 0.407
S: 0.084 0.907 0.126
S: 0.584 0.958 0.677
S: 0.719 0.593 0.177
S: 0.781 0.458 0.374
S: 0.823 0.916 0.042
S: 0.126 0.719 0.542
S: 0.374 0.416 0.093
S: 0.093 0.916 0.374
S: 0.407 0.126 0.584
S: 0.093 0.177 0.219
S: 0.458 0.677 0.084
S: 0.823 0.907 0.281
S: 0.126 0.407 0.084
S: 0.374 0.958 0.781
S: 0.584 0.626 0.407
S: 0.916 0.823 0.542
S: 0.781 0.323 0.907
S: 0.416 0.374 0.593
S: 0.084 0.177 0.458
S: 0.219 0.677 0.093
S: 0.177 0.093 0.719
S: 0.626 0.042 0.219
S: 0.874 0.593 0.916
S: 0.542 0.323 0.916
S: 0.593 0.874 0.416
S: 0.907 0.823 0.781
S: 0.907 0.084 0.626
S: 0.874 0.281 0.458
S: 0.177 0.084 0.958
S: 0.626 0.584 0.907
S: 0.416 0.042 0.323
S: 0.281 0.407 0.823
S: 0.219 0.542 0.626
S: 0.916 0.093 0.874
S: 0.677 0.219 0.593
S: 0.458 0.781 0.874
S: 0.042 0.416 0.823
S: 0.407 0.281 0.323
S: 0.042 0.626 0.719
S: 0.677 0.458 0.584
S: 0.281 0.874 0.958
Mg: 0.125 0.375 0.250
Mg: 0.000 0.500 0.000
Mg: 0.000 0.000 0.000
Mg: 0.375 0.250 0.125
Mg: 0.500 0.000 0.500
Mg: 0.500 0.500 0.000
Mg: 0.125 0.750 0.375
Mg: 0.750 0.125 0.875
Mg: 0.750 0.625 0.375
Mg: 0.375 0.125 0.750
Mg: 0.625 0.875 0.250
Mg: 0.500 0.500 0.500
Mg: 0.500 0.000 0.000
Mg: 0.000 0.000 0.500
Mg: 0.250 0.375 0.625
Mg: 0.250 0.875 0.125
Mg: 0.000 0.500 0.500
Mg: 0.875 0.250 0.625
Mg: 0.625 0.750 0.875
Mg: 0.875 0.625 0.750
Pm: 0.750 0.375 0.125
Pm: 0.875 0.750 0.125
Pm: 0.375 0.750 0.625
Pm: 0.250 0.125 0.375
Pm: 0.875 0.125 0.250
Pm: 0.375 0.625 0.250
Pm: 0.625 0.375 0.750
Pm: 0.125 0.875 0.750
Pm: 0.750 0.875 0.625
Pm: 0.625 0.250 0.375
Pm: 0.125 0.250 0.875
Pm: 0.250 0.625 0.875

## Properties
- E_form (uncorrected): -23.3 eV per formula unit
- Size of the total moment: 0.1 μB/cell
- SG: Ia-3d, No. 230
- Final energy: -4.754 eV per atom

***

The following is a PBE-GGA calculation of an optimized crystal structure of LiAc2CuO5, from Alexandria.

abc: 5.662 7.146 7.146
angles: 90.00 90.00 90.00
Sites, in units of the cell vectors:
Li: 0.000 0.500 0.500
Li: 0.000 0.000 0.000
Ac: 0.500 0.681 0.181
Ac: 0.500 0.181 0.319
Ac: 0.500 0.819 0.681
Ac: 0.500 0.319 0.819
Cu: 0.000 0.000 0.500
Cu: 0.000 0.500 0.000
O: 0.500 0.500 0.500
O: 0.500 0.000 0.000
O: 0.234 0.127 0.627
O: 0.234 0.873 0.373
O: 0.234 0.373 0.127
O: 0.234 0.627 0.873
O: 0.766 0.127 0.627
O: 0.766 0.627 0.873
O: 0.766 0.873 0.373
O: 0.766 0.373 0.127

## Properties
- E_form (uncorrected): -19.6 eV per formula unit
- Size of the total moment: 0.0 μB/cell
- SG: P4/mbm, No. 127
- Final energy: -6.509 eV per atom

***

The following is a PBE-GGA calculation of an optimized crystal structure of Tm2FeSi3Ni12, from Alexandria.

abc: 8.884 8.884 8.884
angles: 39.52 39.52 39.52
Sites, in units of the cell vectors:
Tm: 0.649 0.649 0.649
Tm: 0.351 0.351 0.351
Fe: 0.000 0.000 0.000
Si: 0.500 0.000 0.000
Si: 0.000 0.500 0.000
Si: 0.000 0.000 0.500
Ni: 0.411 0.411 0.813
Ni: 0.924 0.924 0.361
Ni: 0.361 0.924 0.924
Ni: 0.813 0.411 0.411
Ni: 0.924 0.361 0.924
Ni: 0.411 0.813 0.411
Ni: 0.589 0.589 0.187
Ni: 0.076 0.076 0.639
Ni: 0.639 0.076 0.076
Ni: 0.187 0.589 0.589
Ni: 0.076 0.639 0.076
Ni: 0.589 0.187 0.589

## Properties
- E_form (uncorrected): -1.3 eV per formula unit
- Size of the total moment: 4.1 μB/cell
- SG: R-3m, No. 166
- Final energy: -5.798 eV per atom

***

Q: Look up the size of the total moment of the sixth one.
A: 4.1 μB/cell

***

Please write out number 2 again, unchanged.
The following is a PBE-GGA calculation of an optimized crystal structure of CaTb3Pm2As6, from Alexandria.

abc: 4.189 8.390 9.385
angles: 103.10 102.90 90.00
Sites, in units of the cell vectors:
Ca: 0.500 0.000 0.000
Tb: 0.500 0.500 0.000
Tb: 0.834 0.166 0.668
Tb: 0.166 0.834 0.332
Pm: 0.834 0.669 0.669
Pm: 0.166 0.331 0.331
As: 0.331 0.920 0.662
As: 0.666 0.586 0.332
As: 0.669 0.080 0.338
As: 0.998 0.257 0.997
As: 0.002 0.743 0.003
As: 0.334 0.414 0.668

## Properties
- Formation energy: -1.43 eV/atom
- Size of the total moment: 0.0 μB/cell
- SG: C2/m, No. 12
- Final energy: -5.868 eV per atom

***

Q: Which value of size of the total moment does entry 4 give?
A: 0.1 μB/cell